1.
Computed, not measured: a relaxed structure of Ba3FeBi at the GGA-PBE level of DFT.

## Properties
Space-group type: Pm-3m, No. 221
Distance to the lowest polymorph of the same formula: 0.00 kJ per mole of atoms
VASP energy: -3.624 eV/atom
ΔH_f (0 K): -0.0017 eV/atom

abc: 5.781 5.781 5.781
angles: 90.00 90.00 90.00
Positions (direct):
1 Fe 0.000 0.000 0.000
2 Bi 0.500 0.500 0.500
3 Ba 0.000 0.500 0.000
4 Ba 0.000 0.000 0.500
5 Ba 0.500 0.000 0.000

2.
Computed, not measured: a relaxed structure of BaFeBi2 at the GGA-PBE level of DFT.

## Properties
Space-group type: I-42d, No. 122
VASP energy: -4.501 eV/atom
ΔH_f (0 K): 0.0361 eV/atom

abc: 6.015 6.015 9.572
angles: 71.69 71.69 90.00
Positions (direct):
1 Fe 0.500 0.500 0.000
2 Fe 0.250 0.750 0.500
3 Bi 0.461 0.125 0.250
4 Bi 0.289 0.625 0.250
5 Bi 0.375 0.539 0.750
6 Bi 0.875 0.711 0.750
7 Ba 0.000 0.000 0.000
8 Ba 0.750 0.250 0.500

3.
Computed, not measured: a relaxed structure of BaFeBi2 at the GGA-PBE level of DFT.

## Properties
Space-group type: Fm-3m, No. 225
VASP energy: -4.078 eV/atom
ΔH_f (0 K): 0.4588 eV/atom

abc: 5.400 5.400 5.400
angles: 60.00 60.00 60.00
Positions (direct):
1 Fe 0.000 0.000 0.000
2 Bi 0.250 0.250 0.250
3 Bi 0.750 0.750 0.750
4 Ba 0.500 0.500 0.500

4.
Computed, not measured: a relaxed structure of BaFe2Bi2 at the GGA-PBE level of DFT.

## Properties
Space-group type: I4/mmm, No. 139
VASP energy: -5.178 eV/atom
ΔH_f (0 K): 0.1437 eV/atom

abc: 4.430 4.430 7.124
angles: 71.89 71.89 90.00
Positions (direct):
1 Fe 0.750 0.250 0.500
2 Fe 0.250 0.750 0.500
3 Bi 0.354 0.354 0.291
4 Bi 0.646 0.646 0.709
5 Ba 0.000 0.000 0.000

5.
Computed, not measured: a relaxed structure of Ba4Fe2Bi at the GGA-PBE level of DFT.

## Properties
Space-group type: I4/mmm, No. 139
VASP energy: -3.764 eV/atom
ΔH_f (0 K): 0.3075 eV/atom

abc: 6.826 6.826 9.165
angles: 68.14 68.14 90.00
Positions (direct):
1 Fe 0.567 0.567 0.866
2 Fe 0.433 0.433 0.134
3 Bi 0.000 0.000 0.000
4 Ba 0.782 0.782 0.435
5 Ba 0.218 0.218 0.565
6 Ba 0.000 0.500 0.000
7 Ba 0.500 0.000 0.000

6.
Computed, not measured: a relaxed structure of BaFe2Bi2 at the GGA-PBE level of DFT.

## Properties
Space-group type: P4/mbm, No. 127
VASP energy: -4.976 eV/atom
ΔH_f (0 K): 0.3457 eV/atom

abc: 8.884 8.884 3.540
angles: 90.00 90.00 90.00
Positions (direct):
1 Fe 0.093 0.593 0.500
2 Fe 0.593 0.907 0.500
3 Fe 0.907 0.407 0.500
4 Fe 0.407 0.093 0.500
5 Bi 0.350 0.850 0.000
6 Bi 0.850 0.650 0.000
7 Bi 0.650 0.150 0.000
8 Bi 0.150 0.350 0.000
9 Ba 0.000 0.000 0.000
10 Ba 0.500 0.500 0.000

7.
Computed, not measured: a relaxed structure of BaFeBi3 at the GGA-PBE level of DFT.

## Properties
Space-group type: Pm-3m, No. 221
Distance to the lowest polymorph of the same formula: 0.00 kJ per mole of atoms
VASP energy: -4.370 eV/atom
ΔH_f (0 K): 0.0360 eV/atom

abc: 5.347 5.347 5.347
angles: 90.00 90.00 90.00
Positions (direct):
1 Fe 0.000 0.000 0.000
2 Bi 0.000 0.500 0.000
3 Bi 0.000 0.000 0.500
4 Bi 0.500 0.000 0.000
5 Ba 0.500 0.500 0.500

8.
Computed, not measured: a relaxed structure of BaGaFe2Bi at the GGA-PBE level of DFT.

## Properties
Space-group type: P4/mmm, No. 123
VASP energy: -4.390 eV/atom
ΔH_f (0 K): 0.7616 eV/atom

abc: 5.099 5.709 5.099
angles: 90.00 90.00 90.00
Positions (direct):
1 Fe 0.000 0.000 0.500
2 Fe 0.500 0.000 0.000
3 Bi 0.000 0.000 0.000
4 Ga 0.000 0.500 0.000
5 Ba 0.500 0.500 0.500